The following is a GGA-PBE calculation of crystalline AcLa3In at its relaxed geometry, from the Alexandria database.

Calculated values
The calculation puts the density of states at the Fermi level at 1.2916 states/eV per atom. For the excess energy over the best structure of this formula in the dataset, the calculation gives 0 meV/atom.

Structure (POSCAR):
```
AcLa3In
1.0
-1.533 -4.774 0.531
6.633 -2.393 -2.358
6.187 -0.047 17.447
Ac La In
4 12 4
direct
0.250 0.371 0.056
0.750 0.129 0.556
0.750 0.629 0.944
0.250 0.871 0.444
0.250 0.373 0.250
0.750 0.127 0.750
0.750 0.627 0.750
0.250 0.873 0.250
0.250 0.390 0.448
0.750 0.110 0.948
0.750 0.610 0.552
0.250 0.890 0.052
0.250 0.361 0.844
0.750 0.139 0.344
0.750 0.639 0.156
0.250 0.861 0.656
0.250 0.880 0.846
0.750 0.620 0.346
0.750 0.120 0.154
0.250 0.380 0.654
```

The following is a GGA-PBE calculation of crystalline Si2BiN at its relaxed geometry, from the Alexandria database.

Calculated values
The calculation puts the density of states at the Fermi level at 0.4988 states/eV per atom. For the excess energy over the best structure of this formula in the dataset, the calculation gives 0 meV/atom. Its formation energy without anion corrections is 0.438 eV per atom.

Structure (POSCAR):
```
Si2BiN
1.0
-3.334 2.739 2.398
-3.410 -3.489 -0.755
-1.857 -2.947 5.866
Si Bi N
4 2 2
direct
0.444 0.125 0.250
0.306 0.625 0.250
0.375 0.556 0.750
0.875 0.694 0.750
0.000 0.000 0.000
0.750 0.250 0.500
0.500 0.500 0.000
0.250 0.750 0.500
```

The following is a GGA-PBE calculation of crystalline ZrIrAu3 at its relaxed geometry, from the Alexandria database.

Calculated values
The calculation puts the density of states at the Fermi level at 1.2389 states/eV per atom. For the excess energy over the best structure of this formula in the dataset, the calculation gives 0 meV/atom.

Structure (POSCAR):
```
ZrIrAu3
1.0
-0.773 4.720 -1.356
-4.113 -1.373 -2.434
-2.685 0.743 4.118
Ir Au Zr
1 3 1
direct
0.000 0.000 0.000
0.000 0.500 0.000
0.000 0.000 0.500
0.500 0.000 0.000
0.500 0.500 0.500
```

The following is a GGA-PBE calculation of crystalline RbInOs2 at its relaxed geometry, from the Alexandria database.

Calculated values
The calculation puts the density of states at the Fermi level at 1.1832 states/eV per atom. The value obtained for the total energy is -21.16 eV per formula unit.

Structure (POSCAR):
```
RbInOs2
1.0
4.796 0.000 0.000
0.000 4.796 0.000
2.398 2.398 9.733
Os Rb In
4 2 2
direct
0.827 0.125 0.250
0.923 0.625 0.250
0.375 0.173 0.750
0.875 0.077 0.750
0.500 0.500 0.000
0.250 0.750 0.500
0.000 0.000 0.000
0.750 0.250 0.500
```

The following is a GGA-PBE calculation of crystalline UCdIr4 at its relaxed geometry, from the Alexandria database.

Calculated values
The calculation puts the density of states at the Fermi level at 1.2157 states/eV per atom. The value obtained for the total energy is -49.50 eV per formula unit.

Structure (POSCAR):
```
UCdIr4
1.0
5.295 0.000 0.000
2.647 4.585 0.000
2.647 1.528 4.323
Ir U Cd
4 1 1
direct
0.624 0.624 0.127
0.624 0.127 0.624
0.624 0.624 0.624
0.127 0.624 0.624
0.000 0.000 0.000
0.250 0.250 0.250
```

The following is a GGA-PBE calculation of crystalline Ca2YTe at its relaxed geometry, from the Alexandria database.

Calculated values
The calculation puts the density of states at the Fermi level at 0.9631 states/eV per atom. Its formation energy without anion corrections is -0.580 eV per atom.

Structure (POSCAR):
```
Ca2YTe
1.0
-2.242 -2.999 -0.913
1.147 0.260 -3.670
7.035 -5.802 1.787
Y Ca Te
1 2 1
direct
0.500 0.500 0.699
0.000 0.000 0.983
0.500 0.500 0.301
0.000 0.000 0.517
```

The following is a GGA-PBE calculation of crystalline Sm2ErLu at its relaxed geometry, from the Alexandria database.

Calculated values
The calculation puts the density of states at the Fermi level at 1.4687 states/eV per atom. For the excess energy over the best structure of this formula in the dataset, the calculation gives 4 meV/atom.

Structure (POSCAR):
```
Sm2ErLu
1.0
-2.137 -2.851 0.070
2.024 -1.455 2.546
-5.637 4.396 6.993
Lu Sm Er
1 2 1
direct
0.500 0.500 0.000
0.000 0.000 0.752
0.000 0.000 0.248
0.500 0.500 0.500
```

The following is a GGA-PBE calculation of crystalline MnCo2P at its relaxed geometry, from the Alexandria database.

Calculated values
The calculation puts the density of states at the Fermi level at 0.8522 states/eV per atom. The value obtained for the total energy is -28.39 eV per formula unit.

Structure (POSCAR):
```
MnCo2P
1.0
3.507 0.000 0.000
0.000 3.507 0.000
1.754 1.754 8.024
P Mn Co
2 2 4
direct
0.500 0.500 0.000
0.250 0.750 0.500
0.000 0.000 0.000
0.750 0.250 0.500
0.595 0.125 0.250
0.155 0.625 0.250
0.375 0.405 0.750
0.875 0.845 0.750
```

The following is a GGA-PBE calculation of crystalline ZrMo2Ru at its relaxed geometry, from the Alexandria database.

Calculated values
The calculation puts the density of states at the Fermi level at 1.2391 states/eV per atom. For the excess energy over the best structure of this formula in the dataset, the calculation gives 424 meV/atom.

Structure (POSCAR):
```
ZrMo2Ru
1.0
9.914 0.005 0.003
9.509 2.804 0.003
9.509 1.376 2.444
Mo Ru Zr
2 1 1
direct
0.991 0.991 0.991
0.509 0.509 0.509
0.250 0.250 0.250
0.750 0.750 0.750
```